Record 1
Density functional theory data (PBE-GGA) for a geometry-optimized NbGaOs2 structure. Values from VASP.

```
&SYSTEM
  ibrav = 0, nat = 16, ntyp = 3
/
ATOMIC_SPECIES
Nb 92.91 Nb.upf
Ga 69.72 Ga.upf
Os 190.23 Os.upf
CELL_PARAMETERS angstrom
5.552 0.000 0.000
0.000 8.062 0.000
0.000 0.000 5.520
ATOMIC_POSITIONS crystal
Nb 0.035 0.250 0.080
Nb 0.465 0.750 0.580
Nb 0.535 0.250 0.420
Nb 0.965 0.750 0.920
Ga 0.079 0.250 0.579
Ga 0.421 0.750 0.079
Ga 0.579 0.250 0.921
Ga 0.921 0.750 0.421
Os 0.190 0.508 0.317
Os 0.190 0.992 0.317
Os 0.310 0.008 0.817
Os 0.310 0.492 0.817
Os 0.690 0.508 0.183
Os 0.690 0.992 0.183
Os 0.810 0.008 0.683
Os 0.810 0.492 0.683
```

Crystal system: orthorhombic

Record 2
Density functional theory data (PBE-GGA) for a geometry-optimized Nb2GaOs structure. Values from VASP.

```
&SYSTEM
  ibrav = 0, nat = 4, ntyp = 3
/
ATOMIC_SPECIES
Nb 92.91 Nb.upf
Ga 69.72 Ga.upf
Os 190.23 Os.upf
CELL_PARAMETERS angstrom
0.000 3.190 3.190
3.190 0.000 3.190
3.190 3.190 0.000
ATOMIC_POSITIONS crystal
Nb 0.000 0.000 0.000
Nb 0.250 0.250 0.250
Ga 0.500 0.500 0.500
Os 0.750 0.750 0.750
```

Crystal system: cubic

Record 3
Density functional theory data (PBE-GGA) for a geometry-optimized NbGaOs2 structure. Values from VASP.

```
&SYSTEM
  ibrav = 0, nat = 4, ntyp = 3
/
ATOMIC_SPECIES
Nb 92.91 Nb.upf
Ga 69.72 Ga.upf
Os 190.23 Os.upf
CELL_PARAMETERS angstrom
0.000 3.137 3.137
3.137 0.000 3.137
3.137 3.137 0.000
ATOMIC_POSITIONS crystal
Nb 0.000 0.000 0.000
Ga 0.750 0.750 0.750
Os 0.250 0.250 0.250
Os 0.500 0.500 0.500
```

Crystal system: cubic

Record 4
Density functional theory data (PBE-GGA) for a geometry-optimized NbGaOs2 structure. Values from VASP.

```
&SYSTEM
  ibrav = 0, nat = 4, ntyp = 3
/
ATOMIC_SPECIES
Nb 92.91 Nb.upf
Ga 69.72 Ga.upf
Os 190.23 Os.upf
CELL_PARAMETERS angstrom
3.159 0.000 0.000
0.000 3.159 0.000
0.000 0.000 6.109
ATOMIC_POSITIONS crystal
Nb 0.000 0.000 0.000
Ga 0.000 0.000 0.500
Os 0.500 0.500 0.257
Os 0.500 0.500 0.743
```

Crystal system: tetragonal

Record 5
Density functional theory data (PBE-GGA) for a geometry-optimized NbGaPb structure. Values from VASP.

```
&SYSTEM
  ibrav = 0, nat = 3, ntyp = 3
/
ATOMIC_SPECIES
Nb 92.91 Nb.upf
Ga 69.72 Ga.upf
Pb 207.20 Pb.upf
CELL_PARAMETERS angstrom
0.000 3.327 3.327
3.327 0.000 3.327
3.327 3.327 0.000
ATOMIC_POSITIONS crystal
Nb 0.000 0.000 0.000
Ga 0.750 0.750 0.750
Pb 0.250 0.250 0.250
```

Relative energy among the computed polymorphs: 0.00 eV/f.u.
Crystal system: cubic

Record 6
Density functional theory data (PBE-GGA) for a geometry-optimized NbGaPb structure. Values from VASP.

```
&SYSTEM
  ibrav = 0, nat = 3, ntyp = 3
/
ATOMIC_SPECIES
Nb 92.91 Nb.upf
Ga 69.72 Ga.upf
Pb 207.20 Pb.upf
CELL_PARAMETERS angstrom
0.000 3.368 3.368
3.368 0.000 3.368
3.368 3.368 0.000
ATOMIC_POSITIONS crystal
Nb 0.000 0.000 0.000
Ga 0.500 0.500 0.500
Pb 0.250 0.250 0.250
```

Relative energy among the computed polymorphs: 1.06 eV/f.u.
Crystal system: cubic

Record 7
Density functional theory data (PBE-GGA) for a geometry-optimized NbGaPb2 structure. Values from VASP.

```
&SYSTEM
  ibrav = 0, nat = 4, ntyp = 3
/
ATOMIC_SPECIES
Nb 92.91 Nb.upf
Ga 69.72 Ga.upf
Pb 207.20 Pb.upf
CELL_PARAMETERS angstrom
0.000 3.662 3.662
3.662 0.000 3.662
3.662 3.662 0.000
ATOMIC_POSITIONS crystal
Nb 0.000 0.000 0.000
Ga 0.750 0.750 0.750
Pb 0.250 0.250 0.250
Pb 0.500 0.500 0.500
```

Crystal system: cubic

Record 8
Density functional theory data (PBE-GGA) for a geometry-optimized NbGa2Pd structure. Values from VASP.

```
&SYSTEM
  ibrav = 0, nat = 4, ntyp = 3
/
ATOMIC_SPECIES
Nb 92.91 Nb.upf
Ga 69.72 Ga.upf
Pd 106.42 Pd.upf
CELL_PARAMETERS angstrom
-2.132 2.132 3.442
2.132 -2.132 3.442
2.132 2.132 -3.442
ATOMIC_POSITIONS crystal
Nb 0.000 0.000 0.000
Ga 0.250 0.750 0.500
Ga 0.750 0.250 0.500
Pd 0.500 0.500 0.000
```

Crystal system: tetragonal

Record 9
Density functional theory data (PBE-GGA) for a geometry-optimized Nb2GaRe structure. Values from VASP.

```
&SYSTEM
  ibrav = 0, nat = 4, ntyp = 3
/
ATOMIC_SPECIES
Nb 92.91 Nb.upf
Ga 69.72 Ga.upf
Re 186.21 Re.upf
CELL_PARAMETERS angstrom
0.000 3.200 3.200
3.200 0.000 3.200
3.200 3.200 0.000
ATOMIC_POSITIONS crystal
Nb 0.000 0.000 0.000
Nb 0.250 0.250 0.250
Ga 0.500 0.500 0.500
Re 0.750 0.750 0.750
```

Crystal system: cubic

Record 10
Density functional theory data (PBE-GGA) for a geometry-optimized NbGaRe2 structure. Values from VASP.

```
&SYSTEM
  ibrav = 0, nat = 4, ntyp = 3
/
ATOMIC_SPECIES
Nb 92.91 Nb.upf
Ga 69.72 Ga.upf
Re 186.21 Re.upf
CELL_PARAMETERS angstrom
0.000 3.148 3.148
3.148 0.000 3.148
3.148 3.148 0.000
ATOMIC_POSITIONS crystal
Nb 0.000 0.000 0.000
Ga 0.750 0.750 0.750
Re 0.250 0.250 0.250
Re 0.500 0.500 0.500
```

Crystal system: cubic

Record 11
Density functional theory data (PBE-GGA) for a geometry-optimized NbGaRe structure. Values from VASP.

```
&SYSTEM
  ibrav = 0, nat = 3, ntyp = 3
/
ATOMIC_SPECIES
Nb 92.91 Nb.upf
Ga 69.72 Ga.upf
Re 186.21 Re.upf
CELL_PARAMETERS angstrom
0.000 3.058 3.058
3.058 0.000 3.058
3.058 3.058 0.000
ATOMIC_POSITIONS crystal
Nb 0.000 0.000 0.000
Ga 0.500 0.500 0.500
Re 0.750 0.750 0.750
```

Crystal system: cubic

Record 12
Density functional theory data (PBE-GGA) for a geometry-optimized ScNbGa structure. Values from VASP.

```
&SYSTEM
  ibrav = 0, nat = 6, ntyp = 3
/
ATOMIC_SPECIES
Sc 44.96 Sc.upf
Nb 92.91 Nb.upf
Ga 69.72 Ga.upf
CELL_PARAMETERS angstrom
3.931 0.000 0.000
0.000 3.931 0.000
0.000 0.000 7.571
ATOMIC_POSITIONS crystal
Sc 0.250 0.250 0.155
Sc 0.750 0.750 0.845
Nb 0.250 0.750 0.500
Nb 0.750 0.250 0.500
Ga 0.250 0.250 0.769
Ga 0.750 0.750 0.231
```

Relative energy among the computed polymorphs: 0.00 eV/f.u.
Crystal system: tetragonal

Table of final energy (eV per atom), in record order: -8.92 -8.66 -8.69 -9.08 -5.00 -4.65 -4.53 -5.55 -8.90 -9.37 -8.12 -6.91